Here is a relaxed structure of MnNi6Ru from the Alexandria database. Energies are from PBEsol.

Computed properties:
Mass density ... 9.54 Mg/m³
Formation enthalpy at 0 K ... 0.33 eV per formula unit
Total DFT energy (no corrections) ... -7.068 eV/atom
DOS at the Fermi energy ... 43.271 states/eV/cell
Size of the total moment ... 7.8 μB per formula unit

abc: 6.126 6.126 9.990
angles: 90.00 90.00 109.37
Fractional coordinates of all 32 atoms:
1 Mn 0.000 0.000 0.248
2 Mn 0.000 0.000 0.752
3 Mn 0.250 0.750 0.000
4 Mn 0.750 0.250 0.000
5 Ni 0.000 0.000 0.000
6 Ni 0.000 0.000 0.500
7 Ni 0.125 0.375 0.125
8 Ni 0.125 0.375 0.374
9 Ni 0.125 0.375 0.626
10 Ni 0.125 0.375 0.875
11 Ni 0.250 0.750 0.250
12 Ni 0.250 0.750 0.750
13 Ni 0.375 0.125 0.125
14 Ni 0.375 0.125 0.374
15 Ni 0.375 0.125 0.626
16 Ni 0.375 0.125 0.875
17 Ni 0.500 0.500 0.000
18 Ni 0.500 0.500 0.500
19 Ni 0.625 0.875 0.125
20 Ni 0.625 0.875 0.374
21 Ni 0.625 0.875 0.626
22 Ni 0.625 0.875 0.875
23 Ni 0.750 0.250 0.250
24 Ni 0.750 0.250 0.750
25 Ni 0.875 0.625 0.125
26 Ni 0.875 0.625 0.374
27 Ni 0.875 0.625 0.626
28 Ni 0.875 0.625 0.875
29 Ru 0.249 0.751 0.500
30 Ru 0.500 0.500 0.248
31 Ru 0.500 0.500 0.752
32 Ru 0.751 0.249 0.500

=====

Here is a relaxed structure of MnNiSb2 from the Alexandria database. Energies are from PBEsol.

Computed properties:
Mass density ... 8.85 Mg/m³
Total DFT energy (no corrections) ... -6.031 eV/atom
DOS at the Fermi energy ... 3.316 states/eV/cell
Size of the total moment ... 2.5 μB per formula unit
E above lowest polymorph ... 1.36 eV/f.u.
Formation energy from raw total energies ... 0.227 eV/atom

abc: 3.295 3.296 6.171
angles: 90.00 90.16 90.00
Fractional coordinates of all 4 atoms:
1 Mn 0.000 0.000 0.000
2 Ni 0.000 0.000 0.500
3 Sb 0.499 0.500 0.748
4 Sb 0.501 0.500 0.252